1.
A relaxed BaP crystal. Source: Alexandria, functional PBE.

Cell lengths 3.9411, 3.9411, 3.9411 Å; angles 90.00, 90.00, 90.00 degrees
Atoms (fractional coordinates):
Ba: 0.0000 0.0000 0.0000
P: 0.5000 0.5000 0.5000

## Properties
Total energy (eV/f.u.): -8.55
Formation energy (eV per atom): -0.61
Mass density (Mg/m³): 4.57
D(E_F) (states/eV per cell): 2.51

***

2.
A relaxed BaP5 crystal. Source: Alexandria, functional PBE.

Cell lengths 3.4186, 3.4186, 9.7921 Å; angles 90.00, 90.00, 90.00 degrees
Atoms (fractional coordinates):
Ba: 0.0000 0.0000 0.0000
P: 0.0000 0.0000 0.3197
P: 0.0000 0.0000 0.6803
P: 0.5000 0.5000 0.2475
P: 0.5000 0.5000 0.5000
P: 0.5000 0.5000 0.7525

## Properties
ΔE to the lowest computed polymorph (meV per atom): 658
Total energy (eV/f.u.): -27.39
Formation energy (eV per atom): 0.26
Mass density (Mg/m³): 4.24
D(E_F) (states/eV per cell): 2.17

***

3.
A relaxed BaP3 crystal. Source: Alexandria, functional PBE.

Cell lengths 4.2192, 4.2192, 6.3959 Å; angles 90.00, 90.00, 120.00 degrees
Atoms (fractional coordinates):
Ba: 0.0000 0.0000 0.0000
P: 0.0000 0.0000 0.5000
P: 0.6667 0.3333 0.3277
P: 0.6667 0.3333 0.6723

## Properties
Total energy (eV/f.u.): -18.34
Formation energy (eV per atom): -0.05
Mass density (Mg/m³): 3.88
D(E_F) (states/eV per cell): 2.57

***

4.
A relaxed BaP crystal. Source: Alexandria, functional PBE.

Cell lengths 10.7601, 10.7601, 6.3304 Å; angles 90.00, 90.00, 90.00 degrees
Atoms (fractional coordinates):
Ba: 0.1194 0.3806 0.0000
Ba: 0.1975 0.6975 0.5000
Ba: 0.3025 0.1975 0.5000
Ba: 0.3806 0.8806 0.0000
Ba: 0.6194 0.1194 0.0000
Ba: 0.6975 0.8025 0.5000
Ba: 0.8025 0.3025 0.5000
Ba: 0.8806 0.6194 0.0000
P: 0.0707 0.4292 0.5000
P: 0.1751 0.6751 0.0000
P: 0.3249 0.1751 0.0000
P: 0.4292 0.9292 0.5000
P: 0.5708 0.0707 0.5000
P: 0.6751 0.8249 0.0000
P: 0.8249 0.3249 0.0000
P: 0.9292 0.5708 0.5000

## Properties
Total energy (eV/f.u.): -8.63
Formation energy (eV per atom): -0.65
Mass density (Mg/m³): 3.05
D(E_F) (states/eV per cell): 18.14

***

5.
A relaxed BaP3 crystal. Source: Alexandria, functional PBE.

Cell lengths 9.6299, 3.5249, 5.6732 Å; angles 90.00, 111.04, 90.00 degrees
Atoms (fractional coordinates):
Ba: 0.0000 0.0000 0.0000
Ba: 0.5000 0.5000 0.0000
P: 0.0000 0.5000 0.5000
P: 0.1995 0.0000 0.5912
P: 0.3005 0.5000 0.4088
P: 0.5000 0.0000 0.5000
P: 0.6995 0.5000 0.5912
P: 0.8005 0.0000 0.4088

## Properties
Total energy (eV/f.u.): -19.63
Formation energy (eV per atom): -0.37
Mass density (Mg/m³): 4.25
D(E_F) (states/eV per cell): 2.25

***

6.
A relaxed BaP7 crystal. Source: Alexandria, functional PBE.

Cell lengths 5.9512, 5.9512, 5.9512 Å; angles 60.00, 60.00, 60.00 degrees
Atoms (fractional coordinates):
Ba: 0.0000 0.0000 0.0000
P: 0.0000 0.0000 0.5000
P: 0.0000 0.5000 0.0000
P: 0.0000 0.5000 0.5000
P: 0.5000 0.0000 0.0000
P: 0.5000 0.0000 0.5000
P: 0.5000 0.5000 0.0000
P: 0.5000 0.5000 0.5000

## Properties
Total energy (eV/f.u.): -33.89
Formation energy (eV per atom): 0.74
Mass density (Mg/m³): 3.95
D(E_F) (states/eV per cell): 4.23